# 1
The following is a DFT calculation (PBE) of crystalline TbZr5Ru6 at its relaxed geometry.

The calculation puts the formation energy from the elements at -0.59 eV per atom. The total energy is -9.177 eV per atom. The density of states at the Fermi level is 4.509 states/eV/f.u. The total magnetization comes out at 0.00 μB per atom.

The space group is Cmmm (No. 65) and the conventional cell measures 4.6584, 14.0184 and 6.5972 Å, with angles of 90.00, 90.00 and 90.00 degrees. The asymmetric unit holds Tb at (0.0000, 0.0000, 0.0000), Zr at (0.0000, 0.0000, 0.5000), Zr at (0.0000, 0.3324, 0.0000), Zr at (0.0000, 0.3333, 0.5000), Ru at (0.0000, 0.1698, 0.2535) and Ru at (0.0000, 0.5000, 0.2578).

---

# 2
The following is a DFT calculation (PBE) of crystalline Ni4Au3 at its relaxed geometry.

The calculation puts the formation energy from the elements at 0.10 eV per atom. The total energy is -4.607 eV per atom. The density of states at the Fermi level is 9.385 states/eV/f.u. The total magnetization comes out at 0.33 μB per atom.

The space group is I4/mmm (No. 139) and the conventional cell measures 2.8355, 2.8355 and 24.4457 Å, with angles of 90.00, 90.00 and 90.00 degrees. The asymmetric unit holds Ni at (0.0000, 0.0000, 0.0745), Ni at (0.0000, 0.0000, 0.3701), Au at (0.0000, 0.0000, 0.2043) and Au at (0.0000, 0.0000, 0.5000).

---

# 3
The following is a DFT calculation (PBE) of crystalline PbC at its relaxed geometry.

For the offset from the most stable computed form, the calculation gives 1057 meV per atom. The calculation puts the formation energy from the elements at 1.91 eV per atom. The total energy is -4.557 eV per atom. The density of states at the Fermi level is 0.677 states/eV/f.u. The total magnetization comes out at 0.00 μB per atom.

The space group is P-62m (No. 189) and the conventional cell measures 6.1280, 6.1280 and 3.3481 Å, with angles of 90.00, 90.00 and 120.00 degrees. The asymmetric unit holds Pb at (0.0000, 0.0000, 0.0000), Pb at (0.3333, 0.6667, 0.5000) and C at (0.0000, 0.3778, 0.0000).